# CdNiPtO4

An optimized crystal structure of CdNiPtO4 (PBE+U, the Alexandria database).

* DFT total energy: -5.069 eV/atom

Cell lengths 6.1167, 6.3196, 6.3601 Å; angles 120.21, 90.00, 118.94 degrees
Each line ends with the local moment (μB).
Element x y z (fractional)
Pt 0.5000 0.0000 0.5000  0.01
Pt 0.5000 0.0000 0.0000  0.01
O 0.7253 0.4505 0.2605  0.07
O 0.2980 0.0240 0.2620  0.03
O 0.7020 0.9760 0.7380  0.03
O 0.7260 0.0240 0.2620  0.03
O 0.2747 0.5495 0.3099  0.07
O 0.2747 0.5495 0.7395  0.07
O 0.2740 0.9760 0.7380  0.03
O 0.7253 0.4505 0.6901  0.07
Ni 0.5000 0.5000 0.5000  1.76
Ni 0.0000 0.5000 0.5000  1.76
Cd 0.1459 0.2917 0.8959  0.01
Cd 0.8541 0.7083 0.1041  0.01